The following is a DFT calculation (PBE-GGA) of crystalline Tb8ErMg2 at its relaxed geometry.

The structure in CIF format:
```
data_Tb8ErMg2
_cell_length_a 5.336
_cell_length_b 8.411
_cell_length_c 8.701
_cell_angle_alpha 114.42
_cell_angle_beta 107.86
_cell_angle_gamma 90.00
_symmetry_space_group_name_H-M 'P 1'
_symmetry_Int_Tables_number 1
loop_
_symmetry_equiv_pos_as_xyz
'x,y,z'
loop_
_atom_site_label
_atom_site_type_symbol
_atom_site_fract_x
_atom_site_fract_y
_atom_site_fract_z
_atom_site_occupancy
Tb1 Tb 0.688 0.952 0.375 1
Tb2 Tb 0.057 0.735 0.114 1
Mg1 Mg 0.773 0.373 0.546 1
Tb3 Tb 0.854 0.800 0.708 1
Tb4 Tb 0.146 0.200 0.292 1
Mg2 Mg 0.227 0.627 0.454 1
Tb5 Tb 0.943 0.265 0.886 1
Tb6 Tb 0.599 0.469 0.199 1
Tb7 Tb 0.401 0.531 0.801 1
Er1 Er 0.500 0.000 0.000 1
Tb8 Tb 0.312 0.048 0.625 1
```

Summary:
The value obtained for the density of states at the Fermi level is 14.8 states/eV per cell. Its space-group type is C2/m, No. 12. As for the energy above the most stable polymorph in this dataset: 0 meV per atom. For the total magnetization, the calculation gives 0.00 μB/cell. The energy relative to the elements is 1.4 kJ/mol of atoms. Its crystal system is monoclinic.